# ZrCrB | Alexandria via LeMat-Bulk | GGA-PBE | optimized geometry
data_ZrCrB
_chemical_formula_sum 'Zr4 Cr4 B4'
_symmetry_space_group_name_H-M 'I 4/m m m'
_symmetry_Int_Tables_number 139
_symmetry_space_group_name_Hall '-I 4 2'
_cell_length_a 3.406
_cell_length_b 3.406
_cell_length_c 13.388
_cell_angle_alpha 90.00
_cell_angle_beta 90.00
_cell_angle_gamma 90.00
loop_
_atom_site_label
_atom_site_type_symbol
_atom_site_fract_x
_atom_site_fract_y
_atom_site_fract_z
Zr1 Zr 0.000 0.000 0.174
Cr1 Cr 0.000 0.500 0.000
B1 B 0.000 0.000 0.383
# energy of formation from the pure elements	-431	meV per atom